# Tc2IrRu2, optimized geometry, DFT GGA-PBE
data_Tc2IrRu2
_chemical_formula_sum 'Tc4 Ir2 Ru4'
_symmetry_space_group_name_H-M 'P 4/m b m'
_symmetry_Int_Tables_number 127
_symmetry_space_group_name_Hall '-P 4 2ab'
_cell_length_a 7.2865
_cell_length_b 7.2865
_cell_length_c 2.7923
_cell_angle_alpha 90.00
_cell_angle_beta 90.00
_cell_angle_gamma 90.00
loop_
_atom_site_label
_atom_site_type_symbol
_atom_site_fract_x
_atom_site_fract_y
_atom_site_fract_z
Tc1 Tc 0.1716 0.3284 0.0000
Ir1 Ir 0.0000 0.0000 0.5000
Ru1 Ru 0.1251 0.6251 0.5000
# * energy relative to the elements: 0.208 eV per atom
# * calculated volume: 148.26 Å³ per cell
# * VASP energy: -9.421 eV/atom
# * offset from the most stable computed form: 1.18 eV per formula unit